First-principles (GGA-PBE) data for a relaxed structure of Si4Ir3, as listed in Alexandria via LeMat-Bulk.

Calculated values
Its energy above the most stable polymorph in this dataset is 0.00 kcal/mol of atoms. As for the mass density: 11049 kg/m³. The calculation puts the uncorrected formation energy at -660 meV per atom. For the total energy, the calculation gives -7.557 eV per atom.

abc: 3.735 5.832 19.014
angles: 90.00 90.00 90.00
Fractional positions:
Ir  0.250  0.305  0.469
Ir  0.750  0.805  0.031
Ir  0.250  0.000  0.824
Ir  0.250  0.392  0.174
Ir  0.750  0.608  0.826
Ir  0.250  0.108  0.674
Ir  0.250  0.500  0.324
Ir  0.750  0.695  0.531
Ir  0.750  0.892  0.326
Ir  0.250  0.195  0.969
Ir  0.750  0.500  0.676
Ir  0.750  0.000  0.176
Si  0.250  0.074  0.091
Si  0.250  0.785  0.230
Si  0.750  0.027  0.450
Si  0.250  0.426  0.591
Si  0.750  0.285  0.270
Si  0.250  0.715  0.730
Si  0.750  0.926  0.909
Si  0.750  0.611  0.144
Si  0.750  0.215  0.770
Si  0.750  0.473  0.950
Si  0.250  0.527  0.050
Si  0.250  0.973  0.550
Si  0.250  0.389  0.856
Si  0.750  0.574  0.409
Si  0.750  0.889  0.644
Si  0.250  0.111  0.356